{"formula": "CoRh6W2", "functional": "PBE", "state": "relaxed", "lattice": [[2.623, 0.000, -0.701], [-1.492, 12.147, -5.577], [0.286, -4.509, 6.320]], "species": ["Rh", "Rh", "Rh", "Rh", "Rh", "Rh", "W", "W", "Co"], "frac_coords": [[0.678, 0.505, 0.353], [0.322, 0.495, 0.647], [0.678, 0.849, 0.353], [0.322, 0.151, 0.647], [0.500, 0.858, 0.000], [0.500, 0.142, 0.000], [0.810, 0.811, 0.622], [0.190, 0.189, 0.378], [0.000, 0.500, 0.000]], "dft_energy_ev_per_atom": -8.4769, "space_group": "No. 71"}

{"formula": "NaNd2Ag6", "functional": "PBE", "state": "relaxed", "lattice": [[3.350, 0.000, 0.001], [0.002, 7.347, 4.221], [0.000, 0.011, 8.473]], "species": ["Ag", "Ag", "Ag", "Ag", "Ag", "Ag", "Nd", "Nd", "Na"], "frac_coords": [[0.499, 0.000, 0.668], [0.501, 0.000, 0.332], [0.500, 0.668, 0.332], [0.499, 0.668, 0.000], [0.500, 0.332, 0.668], [0.501, 0.332, 0.000], [0.000, 0.333, 0.333], [0.000, 0.667, 0.667], [0.000, 0.000, 0.000]], "dft_energy_ev_per_atom": -3.2549, "space_group": "No. 65"}

{"formula": "PaReH2", "functional": "PBE", "state": "relaxed", "lattice": [[-0.657, 0.296, 2.956], [-0.832, -2.434, 1.625], [5.216, -1.749, 2.900]], "species": ["Re", "Pa", "H", "H"], "frac_coords": [[0.000, 0.000, 0.000], [0.500, 0.500, 0.500], [0.096, 0.096, 0.712], [0.904, 0.904, 0.288]], "dft_energy_ev_per_atom": -6.8792, "space_group": "No. 166"}

{"formula": "HoGaSi2Ni5", "functional": "PBE", "state": "relaxed", "lattice": [[-3.022, -2.160, -0.250], [2.159, -3.032, 0.099], [-0.704, -0.175, 10.035]], "species": ["Si", "Si", "Ga", "Ho", "Ni", "Ni", "Ni", "Ni", "Ni"], "frac_coords": [[0.500, 0.500, 0.282], [0.500, 0.500, 0.718], [0.000, 0.000, 0.000], [0.000, 0.000, 0.500], [0.000, 0.500, 0.155], [0.500, 0.000, 0.845], [0.500, 0.000, 0.155], [0.500, 0.500, 0.500], [0.000, 0.500, 0.845]], "dft_energy_ev_per_atom": -5.5632, "space_group": "No. 123", "raw_formation_energy_ev_per_atom": -0.301}

{"formula": "TmTl2PbO6", "functional": "PBE", "state": "relaxed", "lattice": [[-0.224, 5.731, 1.168], [-3.392, 1.972, 4.344], [2.701, 2.050, 5.123]], "species": ["Pb", "Tl", "Tl", "O", "O", "O", "O", "O", "O", "Tm"], "frac_coords": [[0.309, 0.309, 0.072], [0.529, 0.529, 0.413], [0.029, 0.029, 0.913], [0.427, 0.707, 0.757], [0.109, 0.427, 0.757], [0.624, 0.200, 0.259], [0.917, 0.624, 0.259], [0.199, 0.917, 0.259], [0.707, 0.109, 0.757], [0.810, 0.810, 0.570]], "dft_energy_ev_per_atom": -5.6908, "space_group": "No. 146", "raw_formation_energy_ev_per_atom": -1.425}

{"formula": "Na3AcDy2S6", "functional": "PBE", "state": "relaxed", "lattice": [[-4.288, -1.555, -5.485], [0.251, -4.319, 5.673], [-3.592, 5.452, 2.811]], "species": ["Na", "Na", "Na", "S", "S", "S", "S", "S", "S", "Dy", "Dy", "Ac"], "frac_coords": [[0.500, 0.500, 0.500], [0.168, 0.832, 0.500], [0.832, 0.168, 0.500], [0.429, 0.077, 0.229], [0.077, 0.429, 0.229], [0.923, 0.571, 0.771], [0.724, 0.724, 0.232], [0.571, 0.923, 0.771], [0.276, 0.276, 0.768], [0.333, 0.667, 0.000], [0.667, 0.333, 0.000], [0.000, 0.000, 0.000]], "dft_energy_ev_per_atom": -5.3261, "space_group": "No. 12", "raw_formation_energy_ev_per_atom": -1.823}

{"formula": "Dy2Cu5Ni5", "functional": "PBE", "state": "relaxed", "lattice": [[-3.809, 1.376, 0.030], [-1.060, -2.852, -3.866], [-2.238, -6.310, 5.267]], "species": ["Dy", "Dy", "Cu", "Cu", "Cu", "Cu", "Cu", "Ni", "Ni", "Ni", "Ni", "Ni"], "frac_coords": [[0.000, 0.500, 0.000], [0.000, 0.000, 0.500], [0.500, 0.750, 0.752], [0.500, 0.750, 0.248], [0.500, 0.250, 0.752], [0.500, 0.500, 0.500], [0.500, 0.250, 0.248], [0.500, 0.000, 0.000], [0.000, 0.000, 0.838], [0.000, 0.500, 0.665], [0.000, 0.000, 0.162], [0.000, 0.500, 0.335]], "dft_energy_ev_per_atom": -5.1689, "space_group": "No. 47", "polymorph_energy_ev_per_atom": 0.000}

{"formula": "TcPb2", "functional": "PBE", "state": "relaxed", "lattice": [[-4.606, 2.485, -0.923], [1.027, -1.990, 4.820], [1.212, 2.541, 0.791]], "species": ["Tc", "Pb", "Pb"], "frac_coords": [[0.000, 0.000, 0.000], [0.333, 0.667, 0.500], [0.667, 0.333, 0.500]], "dft_energy_ev_per_atom": -4.8986, "space_group": "No. 191", "polymorph_energy_ev_per_atom": 0.656}

{"formula": "Tb15Pr2Sc2", "functional": "PBE", "state": "relaxed", "lattice": [[2.089, 3.109, -7.843], [-2.786, -6.568, -4.964], [-7.722, 3.170, -2.419]], "species": ["Tb", "Tb", "Tb", "Tb", "Tb", "Tb", "Tb", "Tb", "Tb", "Tb", "Tb", "Tb", "Tb", "Tb", "Tb", "Pr", "Pr", "Sc", "Sc"], "frac_coords": [[0.635, 0.635, 0.147], [0.708, 0.292, 0.000], [0.853, 0.365, 0.365], [0.000, 0.500, 0.000], [0.365, 0.365, 0.853], [0.292, 0.708, 0.000], [0.500, 0.000, 0.000], [0.708, 0.000, 0.292], [0.000, 0.292, 0.708], [0.365, 0.853, 0.365], [0.635, 0.147, 0.635], [0.292, 0.000, 0.708], [0.147, 0.635, 0.635], [0.000, 0.708, 0.292], [0.000, 0.000, 0.500], [0.677, 0.677, 0.677], [0.323, 0.323, 0.323], [0.091, 0.091, 0.091], [0.909, 0.909, 0.909]], "dft_energy_ev_per_atom": -4.5545, "space_group": "No. 166"}

{"formula": "CeSiH", "functional": "PBE", "state": "relaxed", "lattice": [[3.983, 0.000, 0.000], [0.000, 7.678, 0.764], [-1.992, -1.349, 3.179]], "species": ["Ce", "Ce", "Si", "Si", "H", "H"], "frac_coords": [[0.093, 0.279, 0.186], [0.907, 0.721, 0.814], [0.338, 0.014, 0.676], [0.662, 0.986, 0.324], [0.799, 0.397, 0.598], [0.201, 0.603, 0.402]], "dft_energy_ev_per_atom": -5.4703, "space_group": "No. 166", "polymorph_energy_ev_per_atom": 0.116}

{"formula": "TeSeCl", "functional": "PBE", "state": "relaxed", "lattice": [[-2.930, -3.711, 1.367], [1.845, -3.779, 2.556], [-1.189, -0.579, 4.740]], "species": ["Cl", "Te", "Se"], "frac_coords": [[0.500, 0.500, 0.500], [0.000, 0.000, 0.000], [0.750, 0.750, 0.750]], "dft_energy_ev_per_atom": -2.5128, "space_group": "No. 216", "raw_formation_energy_ev_per_atom": 0.311, "polymorph_energy_ev_per_atom": 0.562}

{"formula": "CaNd4Y", "functional": "PBE", "state": "relaxed", "lattice": [[6.808, 0.000, 0.000], [3.404, 5.896, 0.000], [3.404, 1.965, 5.559]], "species": ["Nd", "Nd", "Nd", "Nd", "Ca", "Y"], "frac_coords": [[0.627, 0.627, 0.627], [0.120, 0.627, 0.627], [0.627, 0.120, 0.627], [0.627, 0.627, 0.120], [0.250, 0.250, 0.250], [0.000, 0.000, 0.000]], "dft_energy_ev_per_atom": -4.3894, "space_group": "No. 216", "polymorph_energy_ev_per_atom": 0.160}